This record from Alexandria via LeMat-Bulk describes a relaxed structure of LiAl2W. The functional is PBEsol.

Cell lengths 2.825, 4.574, 4.574 Å; angles 90.00, 90.00, 90.00 degrees
Positions (direct):
Al 0.000 0.000 0.500
Li 0.500 0.500 0.500
W 0.500 0.000 0.000
Al 0.000 0.500 0.000

Properties
ΔE_f, meV/atom: -57
Symmetry: P4/mmm (123)



This record from Alexandria via LeMat-Bulk describes a relaxed structure of LiMoPt4. The functional is PBEsol.

Cell lengths 5.153, 5.153, 5.153 Å; angles 60.00, 60.00, 60.00 degrees
Positions (direct):
Pt 0.625 0.625 0.625
Pt 0.126 0.625 0.625
Pt 0.625 0.126 0.625
Li 0.250 0.250 0.250
Mo 0.000 0.000 0.000
Pt 0.625 0.625 0.126

Properties
ΔE_f, meV/atom: 75
Symmetry: F-43m (216)



This record from Alexandria via LeMat-Bulk describes a relaxed structure of RbNa3Co. The functional is PBEsol.

Cell lengths 5.733, 5.733, 5.733 Å; angles 90.00, 90.00, 90.00 degrees
Positions (direct):
Na 0.000 0.500 0.000
Co 0.000 0.000 0.000
Na 0.500 0.000 0.000
Rb 0.500 0.500 0.500
Na 0.000 0.000 0.500

Properties
ΔE_f, meV/atom: 683
Symmetry: Pm-3m (221)



This record from Alexandria via LeMat-Bulk describes a relaxed structure of ZrTeAs2Cl. The functional is PBEsol.

Cell lengths 4.648, 4.648, 5.333 Å; angles 90.00, 90.00, 90.00 degrees
Positions (direct):
Cl 0.000 0.000 0.000
Zr 0.500 0.500 0.500
Te 0.000 0.000 0.500
As 0.500 0.000 0.000
As 0.000 0.500 0.000

Properties
E_form (uncorrected), eV/atom: 0.620
Symmetry: P4/mmm (123)



This record from Alexandria via LeMat-Bulk describes a relaxed structure of Pb2S2N. The functional is PBEsol.

Cell lengths 3.370, 3.370, 8.952 Å; angles 100.85, 100.85, 90.00 degrees
Positions (direct):
Pb 0.414 0.414 0.829
N 0.000 0.000 0.000
S 0.250 0.750 0.500
Pb 0.586 0.586 0.171
S 0.750 0.250 0.500

Properties
E_form (uncorrected), eV/atom: 0.526
Symmetry: I4/mmm (139)



This record from Alexandria via LeMat-Bulk describes a relaxed structure of BaNaLa3. The functional is PBEsol.

Cell lengths 5.997, 5.997, 5.997 Å; angles 90.00, 90.00, 90.00 degrees
Positions (direct):
La 0.000 0.500 0.000
La 0.000 0.000 0.500
Ba 0.000 0.000 0.000
La 0.500 0.000 0.000
Na 0.500 0.500 0.500

Properties
ΔE_f, meV/atom: 736
Symmetry: Pm-3m (221)



| no. | density of states at the Fermi level (states/eV/f.u.) |
| --- | --- |
| 1 | 1.7 |
| 2 | 7.7 |
| 3 | 12.2 |
| 4 | 2.6 |
| 5 | 1.7 |
| 6 | 5.9 |